[1]
Here is a PBEsol-optimized structure of TaGe2H from Alexandria via LeMat-Bulk. Energies are from SCAN.

Structure (CIF):
```
data_TaGe2H
_space_group_name_H-M_alt 'F m -3 m'
_space_group_IT_number 225
_space_group_name_Hall '-F 4 2 3'
_cell_length_a 6.200
_cell_length_b 6.200
_cell_length_c 6.200
_cell_angle_alpha 90.00
_cell_angle_beta 90.00
_cell_angle_gamma 90.00
loop_
_atom_site_label
_atom_site_fract_x
_atom_site_fract_y
_atom_site_fract_z
_atom_site_occupancy
Ta1 0.000 0.000 0.000 1
Ge1 0.250 0.250 0.250 1
H1 0.000 0.000 0.500 1
```

Results
total energy: -26.199 eV per atom

***

[2]
Here is a PBEsol-optimized structure of K2CoHg from Alexandria via LeMat-Bulk. Energies are from SCAN.

Structure (CIF):
```
data_K2CoHg
_space_group_name_H-M_alt 'P 4 m m'
_space_group_IT_number 99
_space_group_name_Hall 'P 4 -2'
_cell_length_a 3.621
_cell_length_b 3.621
_cell_length_c 9.809
_cell_angle_alpha 90.00
_cell_angle_beta 90.00
_cell_angle_gamma 90.00
loop_
_atom_site_label
_atom_site_fract_x
_atom_site_fract_y
_atom_site_fract_z
_atom_site_occupancy
K1 0.000 0.000 0.000 1
K2 0.500 0.500 0.418 1
Co1 0.000 0.000 0.690 1
Hg1 0.500 0.500 0.740 1
```

Results
energy of formation from the pure elements: 0.37 eV/atom

***

[3]
Here is a PBEsol-optimized structure of ZnCd from Alexandria via LeMat-Bulk. Energies are from SCAN.

Structure (CIF):
```
data_ZnCd
_space_group_name_H-M_alt 'C m m m'
_space_group_IT_number 65
_space_group_name_Hall '-C 2 2'
_cell_length_a 2.812
_cell_length_b 5.420
_cell_length_c 4.768
_cell_angle_alpha 90.00
_cell_angle_beta 90.00
_cell_angle_gamma 90.00
loop_
_atom_site_label
_atom_site_fract_x
_atom_site_fract_y
_atom_site_fract_z
_atom_site_occupancy
Zn1 0.000 0.000 0.000 1
Cd1 0.000 0.500 0.500 1
```

Results
energy of formation from the pure elements: 0.12 eV/atom

***

[4]
Here is a PBEsol-optimized structure of CaOsS2Cl from Alexandria via LeMat-Bulk. Energies are from SCAN.

Structure (CIF):
```
data_CaOsS2Cl
_space_group_name_H-M_alt 'P 4/m m m'
_space_group_IT_number 123
_space_group_name_Hall '-P 4 2'
_cell_length_a 5.129
_cell_length_b 5.129
_cell_length_c 4.870
_cell_angle_alpha 90.00
_cell_angle_beta 90.00
_cell_angle_gamma 90.00
loop_
_atom_site_label
_atom_site_fract_x
_atom_site_fract_y
_atom_site_fract_z
_atom_site_occupancy
Ca1 0.000 0.000 0.000 1
Os1 0.500 0.500 0.500 1
S1 0.000 0.500 0.000 1
Cl1 0.000 0.000 0.500 1
```

Results
ΔE_f (raw): 0.83 eV per atom

***

For reference, volume by record: 14.90 32.15 18.16 25.62 Å³ per atom.